1.
TiSiSn3: optimized geometry, GGA-PBE.

The structure in POSCAR format:
```
TiSiSn3
1.0
5.265 0.000 0.000
0.000 5.265 0.000
0.000 0.000 5.265
Ti Si Sn
1 1 3
direct
0.000 0.000 0.000
0.500 0.500 0.500
0.000 0.000 0.500
0.000 0.500 0.000
0.500 0.000 0.000
```

## Properties
Symmetry   Pm-3m, No. 221
E above lowest polymorph   0 meV per atom
Uncorrected energy   -4.44 eV/atom

2.
Ti2SiSn: optimized geometry, GGA-PBE.

The structure in POSCAR format:
```
Ti2SiSn
1.0
2.070 1.195 4.946
-2.070 1.195 4.946
0.000 -2.390 4.946
Ti Si Sn
2 1 1
direct
0.239 0.239 0.239
0.761 0.761 0.761
0.500 0.500 0.500
0.000 0.000 0.000
```

## Properties
Symmetry   R-3m, No. 166
E above lowest polymorph   0 meV per atom
Uncorrected energy   -6.54 eV/atom

3.
Ti2SiSn: optimized geometry, GGA-PBE.

The structure in POSCAR format:
```
Ti2SiSn
1.0
0.000 3.263 3.263
3.263 0.000 3.263
3.263 3.263 0.000
Ti Si Sn
2 1 1
direct
0.250 0.250 0.250
0.750 0.750 0.750
0.000 0.000 0.000
0.500 0.500 0.500
```

## Properties
Symmetry   Fm-3m, No. 225
E above lowest polymorph   139 meV per atom
Uncorrected energy   -6.40 eV/atom

4.
Ti6SiSn: optimized geometry, GGA-PBE.

The structure in POSCAR format:
```
Ti6SiSn
1.0
3.223 -4.562 0.000
3.223 4.562 0.000
-3.209 0.000 4.865
Ti Si Sn
6 1 1
direct
0.025 0.025 0.276
0.025 0.507 0.260
0.493 0.975 0.740
0.507 0.025 0.260
0.975 0.493 0.740
0.975 0.975 0.724
0.500 0.500 0.500
0.500 0.500 0.000
```

## Properties
Symmetry   C2/m, No. 12
Uncorrected energy   -7.15 eV/atom

5.
Ti4SiSn: optimized geometry, GGA-PBE.

The structure in POSCAR format:
```
Ti4SiSn
1.0
6.849 -2.558 0.000
6.849 2.558 0.000
-1.517 0.000 6.319
Ti Si Sn
8 2 2
direct
0.033 0.815 0.567
0.182 0.470 0.875
0.185 0.967 0.933
0.470 0.182 0.375
0.530 0.818 0.625
0.815 0.033 0.067
0.818 0.530 0.125
0.967 0.185 0.433
0.000 0.500 0.500
0.500 0.000 0.000
0.388 0.612 0.250
0.612 0.388 0.750
```

## Properties
Symmetry   C2/c, No. 15
Uncorrected energy   -7.00 eV/atom

6.
Ti2Si2Sn: optimized geometry, GGA-PBE.

The structure in POSCAR format:
```
Ti2Si2Sn
1.0
-1.734 1.734 7.250
1.734 -1.734 7.250
1.734 1.734 -7.250
Ti Si Sn
2 2 1
direct
0.114 0.114 0.000
0.886 0.886 0.000
0.250 0.750 0.500
0.750 0.250 0.500
0.500 0.500 0.000
```

## Properties
Symmetry   I4/mmm, No. 139
Uncorrected energy   -6.49 eV/atom

Q: uncorrected energy of number 6 (Ti2Si2Sn)?
A: -6.49 eV/atom

Q: The lowest uncorrected energy belongs to which entry?
A: Ti6SiSn

What did the first record say?
TiSiSn3: optimized geometry, GGA-PBE.

The structure in POSCAR format:
```
TiSiSn3
1.0
5.265 0.000 0.000
0.000 5.265 0.000
0.000 0.000 5.265
Ti Si Sn
1 1 3
direct
0.000 0.000 0.000
0.500 0.500 0.500
0.000 0.000 0.500
0.000 0.500 0.000
0.500 0.000 0.000
```

## Properties
Symmetry   Pm-3m, No. 221
E above lowest polymorph   0 meV per atom
Uncorrected energy   -4.44 eV/atom